# Li3LaFe

Crystalline Li3LaFe at its relaxed geometry (PBE, Alexandria).

Results
**Energy of formation from the pure elements**: 0.67 eV/atom
**Energy relative to the lowest polymorph listed for this composition**: 0 meV/atom
**Crystal system**: cubic
**DFT total energy**: -15.81 eV/cell
**Calculated volume**: 103.1 Å³/cell

Cell and atoms, written as extended XYZ:
```
5
Lattice="-4.562 -1.084 -0.065 0.995 -4.284 1.627 -0.435 1.569 4.398" Properties=species:S:1:pos:R:3 pbc="T T T"
Fe 0.000 0.000 0.000
Li -2.281 -0.542 -0.032
La -2.001 -1.900 2.980
Li -0.218 0.784 2.199
Li 0.497 -2.142 0.813
```